# 1
Here is an optimized crystal structure of CoMoOs2 from Alexandria via LeMat-Bulk. Energies are from PBE-GGA.

It has space group F-43m (No. 216), with a = 6.092 Å, b = 6.092 Å, c = 6.092 Å, α = 90.00°, β = 90.00° and γ = 90.00°. The inequivalent atoms are Co at (0.000, 0.000, 0.000), Mo at (0.250, 0.250, 0.250), Os at (0.000, 0.000, 0.500) and Os at (0.250, 0.250, 0.750).

For the distance to the lowest polymorph of the same formula, the calculation gives 391 meV/atom. The energy relative to the elements is 0.42 eV/atom. The energy comes out at -154.86 eV per cell. Its spin magnetization is 4.45 μB/cell.



# 2
Here is an optimized crystal structure of K4Np3InSe8 from Alexandria via LeMat-Bulk. Energies are from PBE-GGA.

It has space group C2/m (No. 12), with a = 14.920 Å, b = 8.605 Å, c = 9.069 Å, α = 90.00°, β = 123.31° and γ = 90.00°. The inequivalent atoms are K at (0.000, 0.000, 0.000), K at (0.000, 0.500, 0.000), K at (0.250, 0.250, 0.000), Np at (0.000, 0.000, 0.500), Np at (0.250, 0.250, 0.500), In at (0.000, 0.500, 0.500), Se at (0.018, 0.244, 0.298), Se at (0.235, 0.000, 0.704) and Se at (0.238, 0.500, 0.702).

The energy comes out at -184.50 eV per cell. Its spin magnetization is 22.35 μB/cell. The formation energy without anion corrections comes out at -1.151 eV/atom.



# 3
Here is an optimized crystal structure of FeCuRh2 from Alexandria via LeMat-Bulk. Energies are from PBE-GGA.

It has space group Cmmm (No. 65), with a = 2.831 Å, b = 4.480 Å, c = 8.598 Å, α = 90.00°, β = 90.00° and γ = 90.00°. The inequivalent atoms are Fe at (0.000, 0.000, 0.000), Cu at (0.000, 0.000, 0.500) and Rh at (0.000, 0.500, 0.244).

The energy relative to the elements is 0.09 eV/atom. The energy comes out at -53.77 eV per cell. Its spin magnetization is 8.33 μB/cell.



# 4
Here is an optimized crystal structure of Sm4Ga2Si5 from Alexandria via LeMat-Bulk. Energies are from PBE-GGA.

It has space group P2/m (No. 10), with a = 6.863 Å, b = 4.287 Å, c = 7.970 Å, α = 90.00°, β = 90.89° and γ = 90.00°. The inequivalent atoms are Sm at (0.239, 0.000, 0.128), Sm at (0.254, 0.000, 0.625), Ga at (0.090, 0.500, 0.370), Si at (0.114, 0.500, 0.886), Si at (0.445, 0.500, 0.350) and Si at (0.500, 0.500, 0.000).

The energy comes out at -59.27 eV per cell. Its spin magnetization is 0.00 μB/cell. The formation energy without anion corrections comes out at -0.657 eV/atom.



Please write out number 2 again, unchanged.
Here is an optimized crystal structure of K4Np3InSe8 from Alexandria via LeMat-Bulk. Energies are from PBE-GGA.

It has space group C2/m (No. 12), with a = 14.920 Å, b = 8.605 Å, c = 9.069 Å, α = 90.00°, β = 123.31° and γ = 90.00°. The inequivalent atoms are K at (0.000, 0.000, 0.000), K at (0.000, 0.500, 0.000), K at (0.250, 0.250, 0.000), Np at (0.000, 0.000, 0.500), Np at (0.250, 0.250, 0.500), In at (0.000, 0.500, 0.500), Se at (0.018, 0.244, 0.298), Se at (0.235, 0.000, 0.704) and Se at (0.238, 0.500, 0.702).

The energy comes out at -184.50 eV per cell. Its spin magnetization is 22.35 μB/cell. The formation energy without anion corrections comes out at -1.151 eV/atom.



- Which formula does entry 4 have?
  Sm4Ga2Si5